Computed, not measured: a relaxed structure of HOsRh2 at the PBE level of DFT.

The crystal system is trigonal. The calculation puts the energy above the most stable polymorph in this dataset at 7 meV/atom.

The structure belongs to space group R3m (No. 160, hexagonal axes); the cell edges are 2.7577, 2.7577 and 20.4580 Å and the angles 90.00°, 90.00° and 120.00°. The distinct sites, in fractional coordinates, are H at (0.0000, 0.0000, 0.0000), Os at (0.0000, 0.0000, 0.8339), Rh at (0.0000, 0.0000, 0.3939) and Rh at (0.0000, 0.0000, 0.6061).

---

Computed, not measured: a relaxed structure of BeNiSe2 at the PBE level of DFT.

The crystal system is trigonal. For the formation energy from raw total energies, the calculation gives -192 meV/atom.

The structure belongs to space group R3m (No. 160, hexagonal axes); the cell edges are 3.5464, 3.5464 and 20.2308 Å and the angles 90.00°, 90.00° and 120.00°. The distinct sites, in fractional coordinates, are Be at (0.0000, 0.0000, 0.0000), Ni at (0.0000, 0.0000, 0.7588), Se at (0.0000, 0.0000, 0.2984) and Se at (0.0000, 0.0000, 0.4781).

---

no.,mass density (g/cm³),E (eV for the cell shown)
1,14.680,-87.19
2,5.101,-51.73